(1)
Density functional theory data (PBE-GGA) for a relaxed structure of Pm7YMg4.

Values from the calculation:
VASP energy, eV/atom: -3.706
Formation energy, meV per atom: 135
Symmetry: C2/m, No. 12
Density of states at the Fermi level, states/eV/f.u.: 14.19
Total magnetization, μB per formula unit: 0.2

The structure in POSCAR format:
```
Pm7YMg4
1.0
7.694 -2.917 0.000
7.694 2.917 0.000
-5.100 0.000 8.396
Pm Y Mg
7 1 4
Cartesian
0.000 0.000 0.000
0.170 0.000 5.964
4.021 0.000 1.029
3.507 0.000 4.816
6.781 0.000 3.580
6.266 0.000 7.368
10.117 0.000 2.433
7.694 0.000 0.000
-2.949 0.000 5.838
0.929 0.000 2.889
9.359 0.000 5.508
13.237 0.000 2.559
```


(2)
Density functional theory data (PBE-GGA) for a relaxed structure of NiSbI2.

Values from the calculation:
VASP energy, eV/atom: -2.558
Symmetry: Fm-3m, No. 225
Density of states at the Fermi level, states/eV/f.u.: 4.07
Total magnetization, μB per formula unit: 0.0
Formation energy without anion corrections, meV/atom: 693

The structure in POSCAR format:
```
NiSbI2
1.0
0.000 3.728 3.728
3.728 0.000 3.728
3.728 3.728 0.000
Ni Sb I
1 1 2
Cartesian
0.000 0.000 0.000
3.728 3.728 3.728
1.864 1.864 1.864
5.592 5.592 5.592
```


(3)
Density functional theory data (PBE-GGA) for a relaxed structure of AcNdReO6.

Values from the calculation:
VASP energy, eV/atom: -8.226
Symmetry: P312, No. 149
Density of states at the Fermi level, states/eV/f.u.: 5.21
Total magnetization, μB per formula unit: 1.0
Formation energy without anion corrections, meV/atom: -2551

The structure in POSCAR format:
```
AcNdReO6
1.0
5.708 0.000 0.000
-2.854 4.943 0.000
0.000 0.000 5.215
Ac Nd Re O
1 1 1 6
Cartesian
0.000 0.000 0.000
0.000 3.295 2.607
2.854 1.648 2.607
2.044 0.262 3.717
1.249 1.639 1.498
3.664 0.262 1.498
2.059 3.042 3.717
4.459 1.639 3.717
3.649 3.042 1.498
```


(4)
Density functional theory data (PBE-GGA) for a relaxed structure of Ho2CoIr3.

Values from the calculation:
VASP energy, eV/atom: -7.830
Formation energy, meV per atom: -690
Symmetry: P6_3/mmc, No. 194
Density of states at the Fermi level, states/eV/f.u.: 3.48
Total magnetization, μB per formula unit: 0.0

The structure in POSCAR format:
```
Ho2CoIr3
1.0
5.353 0.000 0.000
-2.676 4.635 0.000
0.000 0.000 8.336
Ho Co Ir
4 2 6
Cartesian
0.000 3.090 0.540
0.000 3.090 3.628
2.676 1.545 4.709
2.676 1.545 7.796
0.000 0.000 0.000
0.000 0.000 4.168
0.000 1.552 6.252
-1.332 3.859 6.252
1.344 0.776 2.084
1.332 3.859 6.252
4.009 0.776 2.084
2.676 3.083 2.084
```


(5)
Density functional theory data (PBE-GGA) for a relaxed structure of CeTlSn.

Values from the calculation:
VASP energy, eV/atom: -4.412
Formation energy, meV per atom: -311
Symmetry: P3m1, No. 156
Density of states at the Fermi level, states/eV/f.u.: 8.37
Total magnetization, μB per formula unit: 1.0

The structure in POSCAR format:
```
CeTlSn
1.0
4.834 0.000 0.000
-2.417 4.186 0.000
0.000 0.000 4.411
Ce Tl Sn
1 1 1
Cartesian
0.000 0.000 0.000
0.000 2.791 1.560
2.417 1.395 2.705
```


(6)
Density functional theory data (PBE-GGA) for a relaxed structure of VN.

Values from the calculation:
VASP energy, eV/atom: -9.661
Symmetry: I4/mcm, No. 140
Density of states at the Fermi level, states/eV/f.u.: 1.45
Total magnetization, μB per formula unit: 0.0
Formation energy without anion corrections, meV/atom: -939

The structure in POSCAR format:
```
VN
1.0
-3.366 3.366 2.026
3.366 -3.366 2.026
3.366 3.366 -2.026
V N
4 4
Cartesian
4.337 0.971 0.000
0.971 2.394 0.000
2.394 0.971 2.026
-0.971 2.394 2.026
2.365 1.001 0.000
2.365 -1.001 2.026
1.001 4.366 0.000
1.001 2.365 2.026
```


(7)
Density functional theory data (PBE-GGA) for a relaxed structure of SrFeCoCu2.

Values from the calculation:
VASP energy, eV/atom: -2.770
Formation energy, meV per atom: 2318
Symmetry: P4/mmm, No. 123
Density of states at the Fermi level, states/eV/f.u.: 7.88
Total magnetization, μB per formula unit: 1.9

The structure in POSCAR format:
```
SrFeCoCu2
1.0
4.949 0.000 0.000
0.000 4.949 0.000
0.000 0.000 4.505
Sr Fe Co Cu
1 1 1 2
Cartesian
0.000 0.000 0.000
0.000 0.000 2.253
2.475 2.475 2.253
0.000 2.475 0.000
2.475 0.000 0.000
```


(8)
Density functional theory data (PBE-GGA) for a relaxed structure of CrAgCl2.

Values from the calculation:
VASP energy, eV/atom: -4.131
Symmetry: P4/mmm, No. 123
Density of states at the Fermi level, states/eV/f.u.: 3.40
Total magnetization, μB per formula unit: 4.9
Formation energy without anion corrections, meV/atom: -89

The structure in POSCAR format:
```
CrAgCl2
1.0
3.380 0.000 0.000
0.000 3.380 0.000
0.000 0.000 6.849
Cr Ag Cl
1 1 2
Cartesian
0.000 0.000 0.000
0.000 0.000 3.424
1.690 1.690 1.615
1.690 1.690 5.234
```


(9)
Density functional theory data (PBE-GGA) for a relaxed structure of Ac2InPb5.

Values from the calculation:
VASP energy, eV/atom: -4.105
Formation energy, meV per atom: -418
Symmetry: Pbam, No. 55
Density of states at the Fermi level, states/eV/f.u.: 3.92
Total magnetization, μB per formula unit: 0.0

The structure in POSCAR format:
```
Ac2InPb5
1.0
7.084 0.000 0.000
0.000 14.189 0.000
0.000 0.000 5.081
Ac In Pb
4 2 10
Cartesian
1.739 1.793 0.000
1.803 8.888 0.000
5.281 5.301 0.000
5.345 12.395 0.000
0.000 7.094 2.541
3.542 0.000 2.541
0.000 0.000 2.541
0.006 3.587 2.541
1.736 5.350 0.000
1.806 12.444 0.000
3.536 10.682 2.541
3.542 7.094 2.541
3.548 3.507 2.541
5.278 1.745 0.000
5.348 8.839 0.000
7.078 10.602 2.541
```


(10)
Density functional theory data (PBE-GGA) for a relaxed structure of NaCd3B.

Values from the calculation:
VASP energy, eV/atom: -1.765
Formation energy, meV per atom: 384
Symmetry: Pm-3m, No. 221
Density of states at the Fermi level, states/eV/f.u.: 2.04
Total magnetization, μB per formula unit: 0.0

The structure in POSCAR format:
```
NaCd3B
1.0
4.704 0.000 0.000
0.000 4.704 0.000
0.000 0.000 4.704
Na Cd B
1 3 1
Cartesian
0.000 0.000 0.000
0.000 2.352 2.352
2.352 0.000 2.352
2.352 2.352 0.000
2.352 2.352 2.352
```


(11)
Density functional theory data (PBE-GGA) for a relaxed structure of Tb2Zn2Au.

Values from the calculation:
VASP energy, eV/atom: -3.520
Formation energy, meV per atom: -503
Symmetry: C2/m, No. 12
Density of states at the Fermi level, states/eV/f.u.: 4.39
Total magnetization, μB per formula unit: 0.0

The structure in POSCAR format:
```
Tb2Zn2Au
1.0
5.172 -2.246 0.000
5.172 2.246 0.000
-4.388 0.000 9.595
Tb Zn Au
4 4 2
Cartesian
-1.264 0.000 3.233
1.498 0.000 1.062
4.458 0.000 8.533
7.220 0.000 6.363
1.838 0.000 4.204
4.457 0.000 1.060
1.499 0.000 8.535
4.118 0.000 5.392
-0.098 0.000 6.391
6.054 0.000 3.205
```


(12)
Density functional theory data (PBE-GGA) for a relaxed structure of BeOs2.

Values from the calculation:
VASP energy, eV/atom: -8.645
Formation energy, meV per atom: 83
Symmetry: Cmcm, No. 63
Density of states at the Fermi level, states/eV/f.u.: 1.71
Total magnetization, μB per formula unit: 0.0

The structure in POSCAR format:
```
BeOs2
1.0
1.368 -6.442 0.000
1.368 6.442 0.000
0.000 0.000 4.351
Be Os
2 4
Cartesian
1.368 3.548 3.263
1.368 -3.548 1.088
1.368 4.915 1.088
1.368 0.813 1.088
1.368 -0.813 3.263
1.368 -4.915 3.263
```